No. 1
Here is a relaxed Zn2HgCl crystal from Alexandria via LeMat-Bulk. Energies are from PBE.

```
4
Lattice="8.4224 0.0278 0.0166 7.6755 3.4675 0.0166 7.6755 1.6666 3.0408" Properties=species:S:1:pos:R:3 pbc="T T T"
Cl 12.4364 2.7004 1.6081
Hg 17.5181 3.8038 2.2652
Zn 23.4810 5.0985 3.0362
Zn 5.9980 1.3024 0.7756
```

Results
SG   R3m, No. 160
Offset from the most stable computed form   0 meV/atom
Magnetic moment   0.00 μB per cell
N(E_F)   0.39 states/eV/f.u.



No. 2
Here is a relaxed ZnHgCl2 crystal from Alexandria via LeMat-Bulk. Energies are from PBE.

```
4
Lattice="3.3327 0.0000 0.0000 0.0000 3.3327 0.0000 0.0000 0.0000 8.1801" Properties=species:S:1:pos:R:3 pbc="T T T"
Zn 1.6664 1.6664 6.2930
Hg 0.0000 0.0000 4.1592
Cl 0.0000 0.0000 7.5345
Cl 1.6664 1.6664 2.4637
```

Results
SG   P4mm, No. 99
Offset from the most stable computed form   577 meV/atom
Magnetic moment   0.00 μB per cell
N(E_F)   1.50 states/eV/f.u.



No. 3
Here is a relaxed Zn2HgCl crystal from Alexandria via LeMat-Bulk. Energies are from PBE.

```
8
Lattice="7.4245 0.0000 0.0000 0.0000 7.4245 0.0000 3.7122 3.7122 3.2306" Properties=species:S:1:pos:R:3 pbc="T T T"
Zn 5.5581 1.8561 0.8077
Zn 1.8663 5.5683 0.8077
Zn 5.5683 5.5786 2.4230
Zn 9.2806 9.2703 2.4230
Hg 0.0000 0.0000 0.0000
Hg 7.4245 3.7122 1.6153
Cl 3.7122 3.7122 0.0000
Cl 3.7122 7.4245 1.6153
```

Results
SG   I-42d, No. 122
Offset from the most stable computed form   119 meV/atom
Magnetic moment   0.00 μB per cell
N(E_F)   0.98 states/eV/f.u.



No. 4
Here is a relaxed ZnHgCl2 crystal from Alexandria via LeMat-Bulk. Energies are from PBE.

```
4
Lattice="3.5359 0.0000 0.0000 0.0000 6.2327 -0.1556 0.0000 2.0821 5.3388" Properties=species:S:1:pos:R:3 pbc="T T T"
Zn 1.7680 6.0506 4.5372
Hg 0.0000 4.4390 2.9112
Cl 0.0000 7.5916 4.4746
Cl 1.7680 2.7058 1.0350
```

Results
SG   Pm, No. 6
Offset from the most stable computed form   113 meV/atom
Magnetic moment   0.00 μB per cell
N(E_F)   0.00 states/eV/f.u.



No. 5
Here is a relaxed ZnHgCl2 crystal from Alexandria via LeMat-Bulk. Energies are from PBE.

```
4
Lattice="4.0364 -0.0011 0.0000 -2.5800 3.1041 0.0000 0.0000 0.0000 10.6774" Properties=species:S:1:pos:R:3 pbc="T T T"
Zn 0.7282 1.5515 8.0081
Hg 0.7282 1.5515 2.6694
Cl 0.0000 0.0000 9.6195
Cl 0.0000 0.0000 6.3966
```

Results
SG   Cmmm, No. 65
Offset from the most stable computed form   126 meV/atom
Magnetic moment   0.00 μB per cell



No. 6
Here is a relaxed ZnHg2Cl crystal from Alexandria via LeMat-Bulk. Energies are from PBE.

```
4
Lattice="-1.8974 6.3425 0.4785 -4.8624 2.4914 3.7692 5.2876 -4.0117 0.0692" Properties=species:S:1:pos:R:3 pbc="T T T"
Cl 0.0051 3.3739 1.3358
Hg 0.0000 0.0000 0.0000
Hg -3.3799 4.4170 2.1239
Zn -1.4774 1.4483 2.9811
```

Results
SG   I4/mmm, No. 139
Offset from the most stable computed form   199 meV/atom
Magnetic moment   0.00 μB per cell
N(E_F)   1.57 states/eV/f.u.



No. 7
Here is a relaxed ZnHgCl2 crystal from Alexandria via LeMat-Bulk. Energies are from PBE.

```
4
Lattice="-3.5464 -0.1512 5.6306 0.5273 -6.2242 2.2989 2.7158 5.9373 -1.2948" Properties=species:S:1:pos:R:3 pbc="T T T"
Zn 0.8668 -1.7373 2.4844
Hg -1.1701 1.2992 4.1503
Cl -0.2923 -0.6172 0.7677
Cl -1.2172 -2.5704 3.1971
```

Results
SG   Immm, No. 71
Offset from the most stable computed form   112 meV/atom
Magnetic moment   0.00 μB per cell
N(E_F)   0.00 states/eV/f.u.



No. 8
Here is a relaxed ZnHg2Cl crystal from Alexandria via LeMat-Bulk. Energies are from PBE.

```
4
Lattice="3.6170 0.0334 0.0000 -1.7868 3.1451 0.0000 0.0000 0.0000 9.2960" Properties=species:S:1:pos:R:3 pbc="T T T"
Cl 0.9151 1.5892 6.3007
Hg 0.0000 0.0000 0.1798
Hg 0.9151 1.5892 2.7198
Zn 0.0000 0.0000 4.7436
```

Results
SG   Cmm2, No. 35
Offset from the most stable computed form   46 meV/atom
Magnetic moment   0.00 μB per cell
N(E_F)   0.85 states/eV/f.u.



No. 9
Here is a relaxed ZnHg2Cl crystal from Alexandria via LeMat-Bulk. Energies are from PBE.

```
4
Lattice="-3.3193 0.4063 2.4489 -1.9201 -3.0162 -2.1021 2.2697 -4.0583 3.7498" Properties=species:S:1:pos:R:3 pbc="T T T"
Cl 0.1748 -3.5373 0.8239
Hg 0.0000 0.0000 0.0000
Hg -2.6197 -1.3050 0.1734
Zn -0.5248 -1.8260 3.0994
```

Results
SG   P4/mmm, No. 123
Offset from the most stable computed form   193 meV/atom
Magnetic moment   0.00 μB per cell
N(E_F)   0.94 states/eV/f.u.



No. 10
Here is a relaxed ZnHgCl crystal from Alexandria via LeMat-Bulk. Energies are from PBE.

```
3
Lattice="6.4767 -0.0316 0.0000 4.7621 4.3899 0.0000 -5.6194 -2.1792 2.3712" Properties=species:S:1:pos:R:3 pbc="T T T"
Cl 10.8150 4.1940 0.0000
Hg 7.8031 3.0260 0.0000
Zn 3.8596 1.4967 0.0000
```

Results
SG   I4mm, No. 107
Offset from the most stable computed form   179 meV/atom
Magnetic moment   0.00 μB per cell
N(E_F)   0.94 states/eV/f.u.



No. 11
Here is a relaxed Zn2HgCl crystal from Alexandria via LeMat-Bulk. Energies are from PBE.

```
4
Lattice="-3.7130 -2.8344 -3.1602 4.7946 -1.6462 0.0667 -0.0802 -3.6787 1.7757" Properties=species:S:1:pos:R:3 pbc="T T T"
Cl 2.3572 -2.6625 0.9212
Hg 0.5408 -2.2403 -1.5467
Zn 0.0000 0.0000 0.0000
Zn -1.8966 -3.2565 -0.6922
```

Results
SG   C2/m, No. 12
Offset from the most stable computed form   165 meV/atom
Magnetic moment   0.00 μB per cell
N(E_F)   1.35 states/eV/f.u.



No. 12
Here is a relaxed ZnHg2Cl crystal from Alexandria via LeMat-Bulk. Energies are from PBE.

```
4
Lattice="3.6622 0.0164 0.0000 -1.5660 3.3105 0.0000 0.0000 0.0000 8.1566" Properties=species:S:1:pos:R:3 pbc="T T T"
Cl 1.0481 1.6634 6.1174
Hg 0.0000 0.0000 0.1150
Hg 0.0000 0.0000 3.9633
Zn 1.0481 1.6634 2.0391
```

Results
SG   Cmmm, No. 65
Offset from the most stable computed form   129 meV/atom
Magnetic moment   0.00 μB per cell
N(E_F)   0.68 states/eV/f.u.



No. 13
Here is a relaxed ZnHgCl4 crystal from Alexandria via LeMat-Bulk. Energies are from PBE.

```
6
Lattice="0.0000 4.2833 4.2833 4.2833 0.0000 4.2833 4.2833 4.2833 0.0000" Properties=species:S:1:pos:R:3 pbc="T T T"
Zn 0.0000 0.0000 0.0000
Hg 6.4250 6.4250 6.4250
Cl 3.2134 5.3533 5.3533
Cl 5.3533 5.3533 3.2134
Cl 5.3533 3.2134 5.3533
Cl 3.2134 3.2134 3.2134
```

Results
SG   F-43m, No. 216
Offset from the most stable computed form   1298 meV/atom
Magnetic moment   3.91 μB per cell
N(E_F)   7.86 states/eV/f.u.



No. 14
Here is a relaxed ZnHgCl2 crystal from Alexandria via LeMat-Bulk. Energies are from PBE.

```
4
Lattice="-7.5057 -7.4510 -1.4775 -4.1517 -9.7508 -1.3122 -5.9891 -8.5817 2.1263" Properties=species:S:1:pos:R:3 pbc="T T T"
Zn 0.0000 0.0000 0.0000
Hg -8.8232 -12.8918 -0.3317
Cl -16.4803 -24.0798 -0.6196
Cl -1.1661 -1.7038 -0.0438
```

Results
SG   R-3m, No. 166
Offset from the most stable computed form   265 meV/atom
Magnetic moment   0.00 μB per cell
N(E_F)   0.00 states/eV/f.u.



No. 15
Here is a relaxed Zn2HgCl crystal from Alexandria via LeMat-Bulk. Energies are from PBE.

```
4
Lattice="-1.6402 -4.8086 1.1512 4.3038 -2.8280 -0.7866 -0.4625 4.2709 2.9468" Properties=species:S:1:pos:R:3 pbc="T T T"
Cl 2.5865 -1.1877 1.1713
Hg -0.3854 -2.1780 2.1402
Zn 0.0000 0.0000 0.0000
Zn 1.3318 -3.8183 0.1823
```

Results
SG   I4/mmm, No. 139
Offset from the most stable computed form   296 meV/atom
Magnetic moment   0.00 μB per cell
N(E_F)   2.66 states/eV/f.u.



No. 16
Here is a relaxed Zn2HgCl crystal from Alexandria via LeMat-Bulk. Energies are from PBE.

```
4
Lattice="-3.2615 1.9223 5.2748 -6.3376 -0.4694 1.3303 5.2282 -3.2039 -2.1347" Properties=species:S:1:pos:R:3 pbc="T T T"
Cl -4.7996 0.7264 3.3026
Hg -1.4164 -0.2776 3.2213
Zn 0.0000 0.0000 0.0000
Zn -2.9545 -1.4734 1.2491
```

Results
SG   I-4m2, No. 119
Offset from the most stable computed form   203 meV/atom
Magnetic moment   0.00 μB per cell
N(E_F)   1.38 states/eV/f.u.



No. 17
Here is a relaxed ZnHgCl crystal from Alexandria via LeMat-Bulk. Energies are from PBE.

```
3
Lattice="7.0774 -0.0557 0.0373 5.7180 3.3199 0.0098 1.3594 -1.3162 3.1087" Properties=species:S:1:pos:R:3 pbc="T T T"
Cl 1.7111 -1.1753 3.0145
Hg 4.9362 0.1164 2.1511
Zn 8.8669 1.6907 1.0988
```

Results
SG   Fmm2, No. 42
Offset from the most stable computed form   117 meV/atom
Magnetic moment   0.00 μB per cell
N(E_F)   0.90 states/eV/f.u.



No. 18
Here is a relaxed ZnHgCl3 crystal from Alexandria via LeMat-Bulk. Energies are from PBE.

```
5
Lattice="-1.9704 2.1477 -3.9351 -4.2104 0.5895 2.4300 1.5394 4.3612 1.6094" Properties=species:S:1:pos:R:3 pbc="T T T"
Zn 0.0000 0.0000 0.0000
Hg -2.3207 3.5492 0.0522
Cl -2.1052 0.2947 1.2150
Cl 0.7697 2.1806 0.8047
Cl -0.9852 1.0738 -1.9675
```

Results
SG   Pm-3m, No. 221
Offset from the most stable computed form   0 meV/atom
Magnetic moment   0.00 μB per cell
N(E_F)   3.25 states/eV/f.u.



No. 19
Here is a relaxed ZnHg2Cl crystal from Alexandria via LeMat-Bulk. Energies are from PBE.

```
4
Lattice="-1.9870 -1.3870 2.2978 2.5664 -1.8184 1.1217 2.0430 6.3300 5.5875" Properties=species:S:1:pos:R:3 pbc="T T T"
Cl 1.6649 2.6581 5.4708
Hg 0.0258 0.0799 0.0705
Hg 0.8986 0.2838 3.3750
Zn 1.0547 3.2678 2.8845
```

Results
SG   P4mm, No. 99
Offset from the most stable computed form   116 meV/atom
Magnetic moment   0.00 μB per cell
N(E_F)   1.17 states/eV/f.u.



No. 20
Here is a relaxed Zn2HgCl crystal from Alexandria via LeMat-Bulk. Energies are from PBE.

```
4
Lattice="3.5461 -0.0717 0.0000 -1.7150 3.1046 0.0000 0.0000 0.0000 8.6254" Properties=species:S:1:pos:R:3 pbc="T T T"
Cl 0.0000 0.0000 3.7622
Hg 0.9155 1.5164 6.7617
Zn 0.0000 0.0000 0.2856
Zn 0.9155 1.5164 2.1286
```

Results
SG   Cmm2, No. 35
Offset from the most stable computed form   56 meV/atom
Magnetic moment   0.00 μB per cell
N(E_F)   0.55 states/eV/f.u.



No. 21
Here is a relaxed ZnHg2Cl crystal from Alexandria via LeMat-Bulk. Energies are from PBE.

```
4
Lattice="0.0000 3.6616 3.6616 3.6616 0.0000 3.6616 3.6616 3.6616 0.0000" Properties=species:S:1:pos:R:3 pbc="T T T"
Zn 3.6616 3.6616 3.6616
Hg 1.8308 1.8308 1.8308
Hg 5.4924 5.4924 5.4924
Cl 0.0000 0.0000 0.0000
```

Results
SG   Fm-3m, No. 225
Offset from the most stable computed form   281 meV/atom
Magnetic moment   0.00 μB per cell
N(E_F)   2.19 states/eV/f.u.



No. 22
Here is a relaxed ZnHgCl4 crystal from Alexandria via LeMat-Bulk. Energies are from PBE.

```
12
Lattice="-7.1484 -0.9644 -0.5598 0.5846 -0.1487 -7.2097 1.1811 -8.9172 0.2797" Properties=species:S:1:pos:R:3 pbc="T T T"
Zn 0.2923 -0.0744 -3.6048
Zn -2.9836 -4.9408 -0.1400
Hg 0.5906 -4.4586 0.1399
Hg 0.0000 0.0000 0.0000
Cl -4.4926 -5.1971 -1.9394
Cl -5.3342 -0.7811 -2.3763
Cl -4.1790 -5.2769 -5.8078
Cl -1.2296 -0.3320 -5.3931
Cl -0.8900 -4.8332 -5.5503
Cl -1.4986 -0.2636 -2.0760
Cl -5.0652 -0.8495 -5.6934
Cl -1.2037 -4.7534 -1.6818
```

Results
SG   P4_2/mmc, No. 131
Offset from the most stable computed form   92 meV/atom
Magnetic moment   0.00 μB per cell
N(E_F)   0.00 states/eV/f.u.



No. 23
Here is a relaxed Zn2HgCl crystal from Alexandria via LeMat-Bulk. Energies are from PBE.

```
4
Lattice="5.0042 0.0611 0.0000 -0.7462 4.9486 0.0000 0.0000 0.0000 3.3648" Properties=species:S:1:pos:R:3 pbc="T T T"
Cl 2.5021 0.0305 1.6824
Hg -0.3731 2.4743 1.6824
Zn 0.0000 0.0000 0.0000
Zn 2.1290 2.5049 0.0000
```

Results
SG   Cmmm, No. 65
Offset from the most stable computed form   239 meV/atom
Magnetic moment   0.00 μB per cell
N(E_F)   2.18 states/eV/f.u.



No. 24
Here is a relaxed Zn2HgCl crystal from Alexandria via LeMat-Bulk. Energies are from PBE.

```
4
Lattice="-2.4493 3.1258 6.6609 -0.7292 0.1524 7.7190 1.1292 3.1436 6.9986" Properties=species:S:1:pos:R:3 pbc="T T T"
Cl -0.5123 1.6054 5.3446
Hg -1.5369 4.8163 16.0338
Zn -0.0013 0.0041 0.0135
Zn -1.0233 3.2068 10.6757
```

Results
SG   R-3m, No. 166
Offset from the most stable computed form   57 meV/atom
Magnetic moment   0.00 μB per cell
N(E_F)   0.88 states/eV/f.u.



No. 25
Here is a relaxed Zn2HgCl2 crystal from Alexandria via LeMat-Bulk. Energies are from PBE.

```
5
Lattice="4.6928 0.0000 0.0000 0.0000 4.6928 0.0000 2.3464 2.3464 5.1168" Properties=species:S:1:pos:R:3 pbc="T T T"
Zn 2.3464 2.3464 1.2134
Zn 4.6928 4.6928 3.9034
Hg 0.0000 0.0000 0.0000
Cl 4.6928 2.3464 2.5584
Cl 2.3464 4.6928 2.5584
```

Results
SG   I4/mmm, No. 139
Magnetic moment   0.00 μB per cell
N(E_F)   0.00 states/eV/f.u.



Uncorrected formation energy list, top to bottom, in meV per atom: -218, -229, -99, -693, -680, -56, -693, -210, -62, -180, -53, -126, 498, -541, 78, -15, -242, -553, -140, -162, 25, -708, 21, -161, -438